# 1
Material: NpBeTlSe3
Method: DFT, GGA-PBE
State: relaxed

Values from the calculation:
Energy, eV per atom: -5.7089
Formation energy (no corrections), eV/atom: -0.7944

Cell: 9.407 3.992 9.493 Å, 90.00 108.17 90.00°
Fractional positions:
Np 0.173 0.250 0.150
Np 0.827 0.750 0.850
Be 0.422 0.750 0.398
Be 0.578 0.250 0.602
Tl 0.293 0.750 0.781
Tl 0.707 0.250 0.219
Se 0.040 0.250 0.833
Se 0.330 0.250 0.475
Se 0.394 0.750 0.154
Se 0.606 0.250 0.846
Se 0.670 0.750 0.525
Se 0.960 0.750 0.167



# 2
Material: NpBeSi
Method: DFT, GGA-PBE
State: relaxed

Values from the calculation:
Energy, eV per atom: -7.5444
Formation energy (no corrections), eV/atom: -0.1811

Cell: 5.289 5.289 5.289 Å, 140.90 96.46 96.40°
Fractional positions:
Np 0.000 0.000 0.000
Np 0.762 0.262 0.500
Be 0.317 0.481 0.836
Be 0.645 0.481 0.164
Si 0.103 0.779 0.325
Si 0.454 0.779 0.675



# 3
Material: NpBeSi2
Method: DFT, GGA-PBE
State: relaxed

Values from the calculation:
Energy, eV per atom: -7.1083
Formation energy (no corrections), eV/atom: -0.2300

Cell: 8.282 8.282 3.956 Å, 90.00 90.00 152.67°
Fractional positions:
Np 0.107 0.893 0.750
Np 0.893 0.107 0.250
Be 0.324 0.676 0.750
Be 0.676 0.324 0.250
Si 0.250 0.750 0.250
Si 0.461 0.539 0.750
Si 0.539 0.461 0.250
Si 0.750 0.250 0.750



# 4
Material: NpBe3Si3
Method: DFT, GGA-PBE
State: relaxed

Values from the calculation:
Energy, eV per atom: -5.4150
Formation energy (no corrections), eV/atom: 0.3548

Cell: 6.070 6.070 6.070 Å, 90.00 90.00 90.00°
Fractional positions:
Np 0.000 0.000 0.000
Np 0.500 0.500 0.500
Be 0.000 0.250 0.500
Be 0.000 0.750 0.500
Be 0.250 0.500 0.000
Be 0.500 0.000 0.250
Be 0.500 0.000 0.750
Be 0.750 0.500 0.000
Si 0.000 0.500 0.250
Si 0.000 0.500 0.750
Si 0.250 0.000 0.500
Si 0.500 0.250 0.000
Si 0.500 0.750 0.000
Si 0.750 0.000 0.500



# 5
Material: NpBeSi2
Method: DFT, GGA-PBE
State: relaxed

Values from the calculation:
Energy, eV per atom: -6.9367
Formation energy (no corrections), eV/atom: -0.0585

Cell: 5.320 5.320 5.320 Å, 43.33 43.33 43.33°
Fractional positions:
Np 0.000 0.000 0.000
Be 0.500 0.500 0.500
Si 0.207 0.207 0.207
Si 0.793 0.793 0.793



# 6
Material: NpBeSi
Method: DFT, GGA-PBE
State: relaxed

Values from the calculation:
Energy, eV per atom: -6.8473
Formation energy (no corrections), eV/atom: 0.5160

Cell: 4.650 4.650 4.650 Å, 131.67 131.67 70.75°
Fractional positions:
Np 0.000 0.000 0.000
Be 0.352 0.352 0.000
Si 0.640 0.640 0.000



# 7
Material: NpBeSi
Method: DFT, GGA-PBE
State: relaxed

Values from the calculation:
Energy, eV per atom: -7.5103
Formation energy (no corrections), eV/atom: -0.1470

Cell: 3.798 3.798 4.105 Å, 90.00 90.00 120.00°
Fractional positions:
Np 0.000 0.000 0.000
Be 0.333 0.667 0.500
Si 0.667 0.333 0.500



# 8
Material: Np2Be16Si
Method: DFT, GGA-PBE
State: relaxed

Values from the calculation:
Energy, eV per atom: -4.7923
Formation energy (no corrections), eV/atom: -0.0068

Cell: 5.849 5.849 5.849 Å, 83.11 83.11 83.11°
Fractional positions:
Np 0.000 0.000 0.000
Np 0.317 0.317 0.317
Be 0.000 0.000 0.499
Be 0.000 0.499 0.000
Be 0.165 0.654 0.654
Be 0.318 0.318 0.813
Be 0.318 0.813 0.318
Be 0.369 0.656 0.945
Be 0.369 0.945 0.656
Be 0.499 0.000 0.000
Be 0.559 0.559 0.559
Be 0.654 0.165 0.654
Be 0.654 0.654 0.165
Be 0.656 0.369 0.945
Be 0.656 0.945 0.369
Be 0.813 0.318 0.318
Be 0.945 0.369 0.656
Be 0.945 0.656 0.369
Si 0.757 0.757 0.757